[1]
A relaxed KAlIr crystal, computed with PBE.

## Properties
**Energy above the most stable polymorph in this dataset**: 308 kJ/mol of formula units
**Space group**: F-43m

abc: 4.7994 4.7994 4.7994
angles: 60.00 60.00 60.00
Fractional coordinates of all 3 atoms:
Ir (0.7500, 0.7500, 0.7500)
Al (0.2500, 0.2500, 0.2500)
K (0.0000, 0.0000, 0.0000)

[2]
A relaxed MgZnTcNi crystal, computed with PBE.

## Properties
**Energy above the most stable polymorph in this dataset**: 0 kJ/mol of formula units
**Space group**: F-43m

abc: 4.3306 4.3306 4.3306
angles: 60.00 60.00 60.00
Fractional coordinates of all 4 atoms:
Tc (0.5000, 0.5000, 0.5000)
Ni (0.7500, 0.7500, 0.7500)
Mg (0.2500, 0.2500, 0.2500)
Zn (0.0000, 0.0000, 0.0000)

The lowest energy above the most stable polymorph in this dataset belongs to which entry?
MgZnTcNi

What did the second record say?
A relaxed MgZnTcNi crystal, computed with PBE.

## Properties
**Energy above the most stable polymorph in this dataset**: 0 kJ/mol of formula units
**Space group**: F-43m

abc: 4.3306 4.3306 4.3306
angles: 60.00 60.00 60.00
Fractional coordinates of all 4 atoms:
Tc (0.5000, 0.5000, 0.5000)
Ni (0.7500, 0.7500, 0.7500)
Mg (0.2500, 0.2500, 0.2500)
Zn (0.0000, 0.0000, 0.0000)

Which value of energy above the most stable polymorph in this dataset does entry 2 give?
0 kJ/mol of formula units

energy above the most stable polymorph in this dataset of number 2 (MgZnTcNi)?
0 kJ/mol of formula units